## SrLi2NpI8 (PBE)

Data for a relaxed SrLi2NpI8 crystal.

The volume comes out at 532 Å³/f.u. The total moment is 3.00 Bohr magnetons per cell. The total energy is -3.697 eV per atom. The value obtained for the formation energy without anion corrections is -108.6 kJ/mol of atoms.

The structure belongs to space group P-1 (No. 2); the cell edges are 7.6459, 7.9176 and 9.4719 Å and the angles 71.76°, 89.45° and 78.29°. The distinct sites, in fractional coordinates, are Sr at (0.0000, 0.0000, 0.0000), Li at (0.4601, 0.3523, 0.1714), Np at (0.0000, 0.0000, 0.5000), I at (0.1138, 0.2450, 0.2068), I at (0.1255, 0.2223, 0.6683), I at (0.3599, 0.7548, 0.5484) and I at (0.3950, 0.7296, 0.0700).